DFT (GGA-PBE) results for FeIr2Br after structural relaxation.

The structure belongs to space group C2/m (No. 12); the cell edges are 9.927, 2.862 and 4.523 Å and the angles 90.00°, 95.96° and 90.00°. Symmetry generates all atoms from Fe at (0.000, 0.000, 0.000), Ir at (0.219, 0.500, 0.228) and Br at (0.000, 0.500, 0.500).

The calculation puts the density of states at the Fermi level at 3.7 states/eV/f.u. The value obtained for the calculated density is 13.517 Mg/m³. For the calculated volume, the calculation gives 15.976 Å³/atom. Its total energy is -50.59 eV for the cell shown. The crystal system is monoclinic.



DFT (GGA-PBE) results for Fe2IrBr after structural relaxation.

The structure belongs to space group C2/m (No. 12); the cell edges are 5.536, 7.408 and 2.985 Å and the angles 90.00°, 90.33° and 90.00°. Symmetry generates all atoms from Fe at (0.250, 0.250, 0.000), Ir at (0.000, 0.000, 0.500) and Br at (0.000, 0.500, 0.500).

The calculation puts the density of states at the Fermi level at 3.7 states/eV/f.u. The value obtained for the calculated density is 10.413 Mg/m³. For the calculated volume, the calculation gives 15.302 Å³/atom. Its total energy is -49.80 eV for the cell shown. The crystal system is monoclinic.



DFT (GGA-PBE) results for FeIr2Br after structural relaxation.

The structure belongs to space group P4mm (No. 99); the cell edges are 2.833, 2.833 and 8.873 Å and the angles 90.00°, 90.00° and 90.00°. Symmetry generates all atoms from Fe at (0.000, 0.000, 0.000), Ir at (0.000, 0.000, 0.404), Ir at (0.500, 0.500, 0.207) and Br at (0.500, 0.500, 0.803).

The calculation puts the density of states at the Fermi level at 5.0 states/eV/f.u. The value obtained for the calculated density is 12.127 Mg/m³. For the calculated volume, the calculation gives 17.808 Å³/atom. Its total energy is -25.50 eV for the cell shown. The crystal system is tetragonal.



DFT (GGA-PBE) results for FeIr2Br after structural relaxation.

The structure belongs to space group Immm (No. 71); the cell edges are 2.801, 4.252 and 11.027 Å and the angles 90.00°, 90.00° and 90.00°. Symmetry generates all atoms from Fe at (0.000, 0.000, 0.000), Ir at (0.000, 0.500, 0.288) and Br at (0.000, 0.000, 0.500).

The calculation puts the density of states at the Fermi level at 4.9 states/eV/f.u. The value obtained for the calculated density is 13.151 Mg/m³. For the calculated volume, the calculation gives 16.420 Å³/atom. Its total energy is -50.12 eV for the cell shown. The crystal system is orthorhombic.



DFT (GGA-PBE) results for Fe2IrBr after structural relaxation.

The structure belongs to space group C2/m (No. 12); the cell edges are 7.602, 3.050 and 7.641 Å and the angles 90.00°, 119.53° and 90.00°. Symmetry generates all atoms from Fe at (0.199, 0.000, 0.322), Ir at (0.000, 0.000, 0.500) and Br at (0.000, 0.500, 0.000).

The calculation puts the density of states at the Fermi level at 5.2 states/eV/f.u. The value obtained for the calculated density is 8.270 Mg/m³. For the calculated volume, the calculation gives 19.267 Å³/atom. Its total energy is -51.21 eV for the cell shown. The crystal system is monoclinic.



DFT (GGA-PBE) results for Fe4IrBr after structural relaxation.

The structure belongs to space group F-43m (No. 216); the cell edges are 6.988, 6.988 and 6.988 Å and the angles 90.00°, 90.00° and 90.00°. Symmetry generates all atoms from Fe at (0.124, 0.124, 0.376), Ir at (0.250, 0.250, 0.750) and Br at (0.000, 0.000, 0.000).

The calculation puts the density of states at the Fermi level at 4.4 states/eV/f.u. The value obtained for the calculated density is 9.645 Mg/m³. For the calculated volume, the calculation gives 14.218 Å³/atom. Its total energy is -162.57 eV for the cell shown. The crystal system is cubic.